1.
The following is a DFT calculation (PBE) of Ba4CdIn after structural relaxation.

- theoretical density (Mg/m³) = 4.5
- total magnetization (μB/cell) = 0.0
- excess energy over the best structure of this formula in the dataset (eV/atom) = 0.000

Cell lengths 4.311, 4.311, 15.330 Å; angles 90.00, 90.00, 90.00 degrees
Space group P4/mmm (No. 123)
One atom of each set of equivalent atoms:
Ba: 0.000 0.000 0.132 (multiplicity 2)
Ba: 0.500 0.500 0.368 (multiplicity 2)
Cd: 0.000 0.000 0.500 (multiplicity 1)
In: 0.500 0.500 0.000 (multiplicity 1)

***

2.
The following is a DFT calculation (PBE) of BaCd7In5 after structural relaxation.

- theoretical density (Mg/m³) = 7.2
- total magnetization (μB/cell) = 0.0

Cell lengths 6.726, 10.248, 10.075 Å; angles 90.00, 90.00, 90.00 degrees
Space group Imm2 (No. 44)
One atom of each set of equivalent atoms:
Ba: 0.000 0.000 0.000 (multiplicity 2)
Cd: 0.000 0.000 0.354 (multiplicity 2)
Cd: 0.000 0.000 0.643 (multiplicity 2)
Cd: 0.000 0.279 0.498 (multiplicity 4)
Cd: 0.000 0.357 0.000 (multiplicity 4)
Cd: 0.000 0.500 0.286 (multiplicity 2)
In: 0.000 0.500 0.718 (multiplicity 2)
In: 0.249 0.254 0.249 (multiplicity 8)

***

3.
The following is a DFT calculation (PBE) of Ba6Cd3In after structural relaxation.

- theoretical density (Mg/m³) = 4.9
- total magnetization (μB/cell) = 0.0

Cell lengths 10.845, 5.932, 13.989 Å; angles 90.00, 105.86, 90.00 degrees
Space group P2_1/m (No. 11)
One atom of each set of equivalent atoms:
Ba: 0.015 0.250 0.121 (multiplicity 2)
Ba: 0.132 0.250 0.689 (multiplicity 2)
Ba: 0.243 0.750 0.515 (multiplicity 2)
Ba: 0.361 0.750 0.109 (multiplicity 2)
Ba: 0.363 0.250 0.356 (multiplicity 2)
Ba: 0.389 0.750 0.832 (multiplicity 2)
Cd: 0.049 0.250 0.393 (multiplicity 2)
Cd: 0.161 0.750 0.258 (multiplicity 2)
Cd: 0.291 0.250 0.960 (multiplicity 2)
In: 0.442 0.250 0.643 (multiplicity 2)

***

4.
The following is a DFT calculation (PBE) of BaCd4In12 after structural relaxation.

- theoretical density (Mg/m³) = 6.4
- total magnetization (μB/cell) = 0.0

Cell lengths 10.085, 10.085, 10.085 Å; angles 90.00, 90.00, 90.00 degrees
Space group Im-3 (No. 204)
One atom of each set of equivalent atoms:
Ba: 0.000 0.000 0.000 (multiplicity 2)
Cd: 0.250 0.250 0.250 (multiplicity 8)
In: 0.000 0.152 0.355 (multiplicity 24)

***

5.
The following is a DFT calculation (PBE) of BaCdIn after structural relaxation.

- theoretical density (Mg/m³) = 6.0
- total magnetization (μB/cell) = 0.0

Cell lengths 4.919, 12.840, 6.350 Å; angles 90.00, 90.00, 90.00 degrees
Space group Cmcm (No. 63)
One atom of each set of equivalent atoms:
Ba: 0.000 0.207 0.250 (multiplicity 4)
Cd: 0.000 0.500 0.000 (multiplicity 4)
In: 0.000 0.082 0.750 (multiplicity 4)

***

6.
The following is a DFT calculation (PBE) of Ba3Cd4In2 after structural relaxation.

- theoretical density (Mg/m³) = 6.0
- total magnetization (μB/cell) = 0.0

Cell lengths 12.475, 5.246, 9.991 Å; angles 90.00, 111.69, 90.00 degrees
Space group C2/m (No. 12)
One atom of each set of equivalent atoms:
Ba: 0.000 0.000 0.000 (multiplicity 2)
Ba: 0.149 0.500 0.677 (multiplicity 4)
Cd: 0.084 0.000 0.414 (multiplicity 4)
Cd: 0.222 0.500 0.059 (multiplicity 4)
In: 0.140 0.500 0.305 (multiplicity 4)

***

7.
The following is a DFT calculation (PBE) of Ba3CdIn2 after structural relaxation.

- theoretical density (Mg/m³) = 5.4
- total magnetization (μB/cell) = 0.0

Cell lengths 6.027, 18.060, 4.296 Å; angles 90.00, 90.00, 90.00 degrees
Space group Cmmm (No. 65)
One atom of each set of equivalent atoms:
Ba: 0.000 0.000 0.000 (multiplicity 2)
Ba: 0.000 0.335 0.000 (multiplicity 4)
Cd: 0.000 0.500 0.500 (multiplicity 2)
In: 0.000 0.170 0.500 (multiplicity 4)

***

8.
The following is a DFT calculation (PBE) of BaCd2In8 after structural relaxation.

- theoretical density (Mg/m³) = 5.4
- total magnetization (μB/cell) = 0.0
- excess energy over the best structure of this formula in the dataset (eV/atom) = 0.125

Cell lengths 6.161, 6.161, 10.307 Å; angles 90.00, 90.00, 90.00 degrees
Space group P4/mmm (No. 123)
One atom of each set of equivalent atoms:
Ba: 0.000 0.000 0.000 (multiplicity 1)
Cd: 0.000 0.500 0.500 (multiplicity 2)
In: 0.253 0.253 0.286 (multiplicity 8)

***

9.
The following is a DFT calculation (PBE) of Ba2CdIn7 after structural relaxation.

- theoretical density (Mg/m³) = 6.4
- total magnetization (μB/cell) = 0.0

Cell lengths 4.998, 4.998, 12.332 Å; angles 90.00, 90.00, 90.00 degrees
Space group P-4m2 (No. 115)
One atom of each set of equivalent atoms:
Ba: 0.000 0.500 0.247 (multiplicity 2)
Cd: 0.500 0.500 0.000 (multiplicity 1)
In: 0.000 0.000 0.000 (multiplicity 1)
In: 0.000 0.000 0.500 (multiplicity 1)
In: 0.000 0.500 0.637 (multiplicity 2)
In: 0.000 0.500 0.869 (multiplicity 2)
In: 0.500 0.500 0.500 (multiplicity 1)

***

10.
The following is a DFT calculation (PBE) of Ba2CdInIr after structural relaxation.

- theoretical density (Mg/m³) = 6.0
- total magnetization (μB/cell) = 0.0

Cell lengths 6.087, 6.087, 5.212 Å; angles 90.00, 90.00, 90.00 degrees
Space group P4/mmm (No. 123)
One atom of each set of equivalent atoms:
Ba: 0.000 0.500 0.000 (multiplicity 2)
Cd: 0.000 0.000 0.500 (multiplicity 1)
In: 0.500 0.500 0.500 (multiplicity 1)
Ir: 0.500 0.500 0.000 (multiplicity 1)

***

11.
The following is a DFT calculation (PBE) of Ba2CdIn12Ir3 after structural relaxation.

- theoretical density (Mg/m³) = 6.4
- total magnetization (μB/cell) = 0.0

Cell lengths 10.1395, 10.1395, 20.4495 Å; angles 90.00, 90.00, 120.00 degrees
Space group R-3m (No. 166, hexagonal axes)
One atom of each set of equivalent atoms:
Ba: 0.0000 0.0000 0.1048 (multiplicity 6)
Cd: 0.0000 0.0000 0.5000 (multiplicity 3)
In: 0.0000 0.5000 0.1298 (multiplicity 18)
In: 0.1039 0.5520 0.3260 (multiplicity 18)
Ir: 0.0000 0.5000 0.0000 (multiplicity 9)

***

12.
The following is a DFT calculation (PBE) of BaCd2In4Ir after structural relaxation.

- theoretical density (Mg/m³) = 7.8
- total magnetization (μB/cell) = 0.0

Cell lengths 4.8372, 4.8372, 31.8439 Å; angles 90.00, 90.00, 120.00 degrees
Space group R-3m (No. 166, hexagonal axes)
One atom of each set of equivalent atoms:
Ba: 0.0000 0.0000 0.0000 (multiplicity 3)
Cd: 0.0000 0.0000 0.2609 (multiplicity 6)
In: 0.0000 0.0000 0.1421 (multiplicity 6)
In: 0.0000 0.0000 0.4139 (multiplicity 6)
Ir: 0.0000 0.0000 0.5000 (multiplicity 3)

***

| no. | D(E_F) (states/eV per atom) | E (eV/atom) |
| --- | --- | --- |
| 1 | 0.86 | -2.164 |
| 2 | 0.42 | -1.784 |
| 3 | 1.02 | -1.955 |
| 4 | 0.53 | -2.229 |
| 5 | 0.76 | -2.158 |
| 6 | 0.78 | -2.024 |
| 7 | 0.79 | -2.398 |
| 8 | 0.51 | -2.261 |
| 9 | 0.28 | -2.748 |
| 10 | 0.64 | -3.486 |
| 11 | 0.63 | -3.584 |
| 12 | 0.33 | -3.093 |